Compound: CsNi
Source: Alexandria via LeMat-Bulk
Functional: GGA-PBE
Structure: relaxed

Cell lengths 12.837, 12.837, 4.262 Å; angles 90.00, 90.00, 90.00 degrees
Each line ends with the local moment (μB).
Sites, in units of the cell vectors:
Cs: 0.750 0.500 0.000  -0.01
Cs: 0.250 0.500 0.000  -0.01
Cs: 0.500 0.250 0.000  -0.01
Cs: 0.500 0.750 0.000  -0.01
Cs: 0.250 0.000 0.500  -0.01
Cs: 0.750 0.000 0.500  -0.01
Cs: 0.000 0.750 0.500  -0.01
Cs: 0.000 0.250 0.500  -0.01
Ni: 0.231 0.231 0.000  0.41
Ni: 0.231 0.769 0.000  0.41
Ni: 0.769 0.231 0.000  0.41
Ni: 0.769 0.769 0.000  0.41
Ni: 0.731 0.731 0.500  0.41
Ni: 0.731 0.269 0.500  0.41
Ni: 0.269 0.731 0.500  0.41
Ni: 0.269 0.269 0.500  0.41

Raw total energy: -5.432 eV/f.u.
ΔH_f (0 K): 0.60 eV/atom
Magnetization: 2.09 μB/cell